Entry 1:
Here is a relaxed structure of ErTm6Al6 from Alexandria. Energies are from PBE.

Computed properties:
calculated total energy: -4.44 eV/atom
D(E_F): 14.50 states/eV per cell
space-group type: No. 191

Lattice parameters (Å, degrees): 5.8628 5.8628 10.3451 90.00 90.00 120.00
With the nearest neighbours (Å) after each atom.
Element x y z (fractional)
Er 0.0000 0.0000 0.0000  8 Tm 3.38-3.46
Tm 0.0000 0.0000 0.3345  6 Al 3.07, 1 Tm 3.42
Tm 0.0000 0.0000 0.6655  6 Al 3.07, 1 Tm 3.42
Tm 0.3333 0.6667 0.0000  6 Al 3.05, 3 Er 3.38, 3 Tm 3.38
Tm 0.3333 0.6667 0.5000  6 Al 3.13, 3 Tm 3.38
Tm 0.6667 0.3333 0.0000  6 Al 3.05, 3 Er 3.38, 3 Tm 3.38
Tm 0.6667 0.3333 0.5000  6 Al 3.13, 3 Tm 3.38
Al 0.0000 0.5000 0.2458  4 Al 2.93, 6 Tm 3.05-3.13
Al 0.0000 0.5000 0.7542  4 Al 2.93, 6 Tm 3.05-3.13
Al 0.5000 0.0000 0.2458  4 Al 2.93, 6 Tm 3.05-3.13
Al 0.5000 0.0000 0.7542  4 Al 2.93, 6 Tm 3.05-3.13
Al 0.5000 0.5000 0.2458  4 Al 2.93, 6 Tm 3.05-3.13
Al 0.5000 0.5000 0.7542  4 Al 2.93, 6 Tm 3.05-3.13



Entry 2:
Here is a relaxed structure of ErTmAl3 from Alexandria. Energies are from PBE.

Computed properties:
calculated total energy: -4.50 eV/atom
D(E_F): 6.23 states/eV per cell
space-group type: No. 63

Lattice parameters (Å, degrees): 13.8232 13.8232 4.5260 90.00 90.00 165.57
With the nearest neighbours (Å) after each atom.
Element x y z (fractional)
Er 0.0719 0.9281 0.7500  12 Al 3.14-3.24, 2 Er 3.47
Er 0.9281 0.0719 0.2500  12 Al 3.14-3.24, 2 Er 3.47
Tm 0.2126 0.7874 0.2500  7 Al 3.07-3.18
Tm 0.7874 0.2126 0.7500  7 Al 3.07-3.18
Al 0.3285 0.6715 0.2500  2 Al 2.68
Al 0.3806 0.6194 0.7500  3 Al 2.62-2.68
Al 0.4760 0.5240 0.7500  3 Al 2.62
Al 0.5240 0.4760 0.2500  3 Al 2.62
Al 0.6194 0.3806 0.2500  3 Al 2.62-2.68
Al 0.6715 0.3285 0.7500  2 Al 2.68



Entry 3:
Here is a relaxed structure of Er4TmAl2 from Alexandria. Energies are from PBE.

Computed properties:
excess energy over the best structure of this formula in the dataset: 0.1828 eV per atom
D(E_F): 8.86 states/eV per cell
space-group type: No. 166

Lattice parameters (Å, degrees): 10.3670 10.3670 10.3670 27.77 27.77 27.77
With the nearest neighbours (Å) after each atom.
Element x y z (fractional)
Er 0.1027 0.1027 0.1027  3 Al 3.06
Er 0.2980 0.2980 0.2980  4 Al 3.03-3.06
Er 0.7020 0.7020 0.7020  4 Al 3.03-3.06
Er 0.8973 0.8973 0.8973  3 Al 3.06
Tm 0.5000 0.5000 0.5000  2 Al 2.97
Al 0.4005 0.4005 0.4005  1 Tm 2.97, 7 Er 3.03-3.06
Al 0.5995 0.5995 0.5995  1 Tm 2.97, 7 Er 3.03-3.06



Entry 4:
Here is a relaxed structure of ErTm7Al5 from Alexandria. Energies are from PBE.

Computed properties:
calculated total energy: -4.42 eV/atom
D(E_F): 10.76 states/eV per cell
space-group type: No. 44

Lattice parameters (Å, degrees): 7.9196 7.9196 7.9196 135.29 100.26 96.38
With the nearest neighbours (Å) after each atom.
Element x y z (fractional)
Er 0.0000 0.0000 0.0000  8 Tm 3.44-3.66, 6 Al 3.75-3.82
Tm 0.2022 0.5086 0.6936  5 Al 2.98-3.21, 1 Tm 3.16
Tm 0.2425 0.7425 0.5000  4 Al 3.04, 6 Tm 3.16-3.39
Tm 0.3463 0.3463 0.0000  4 Al 3.15, 3 Tm 3.21-3.44
Tm 0.3607 0.0231 0.3376  5 Al 3.13-3.21, 4 Tm 3.30-3.39, 1 Er 3.44
Tm 0.6721 0.6721 0.0000  6 Al 3.04-3.21
Tm 0.6854 0.0231 0.6624  5 Al 3.13-3.21, 4 Tm 3.30-3.39, 1 Er 3.44
Tm 0.8150 0.5086 0.3064  5 Al 2.98-3.21, 1 Tm 3.16
Al 0.0106 0.0164 0.4868  3 Al 2.88-3.06, 7 Tm 2.98-3.21
Al 0.0106 0.5238 0.9942  3 Al 2.88-3.06, 7 Tm 2.98-3.21
Al 0.5297 0.0164 0.0058  3 Al 2.88-3.06, 7 Tm 2.98-3.21
Al 0.5297 0.5238 0.5132  3 Al 2.88-3.06, 7 Tm 2.98-3.21
Al 0.7768 0.2768 0.5000  4 Al 2.88, 6 Tm 3.14-3.21



Entry 5:
Here is a relaxed structure of ErTmAl from Alexandria. Energies are from PBE.

Computed properties:
excess energy over the best structure of this formula in the dataset: 0.1109 eV per atom
D(E_F): 1.95 states/eV per cell
space-group type: No. 156

Lattice parameters (Å, degrees): 5.0177 5.0177 3.4971 90.00 90.00 120.00
With the nearest neighbours (Å) after each atom.
Element x y z (fractional)
Er 0.0000 0.0000 0.0000  3 Al 3.07, 3 Tm 3.28
Tm 0.3333 0.6667 0.4410  3 Al 3.05, 3 Er 3.28
Al 0.6667 0.3333 0.7115  3 Tm 3.05, 3 Er 3.07



Entry 6:
Here is a relaxed structure of Er5TmAl3 from Alexandria. Energies are from PBE.

Computed properties:
calculated total energy: -4.56 eV/atom
D(E_F): 16.64 states/eV per cell
space-group type: No. 193

Lattice parameters (Å, degrees): 8.9822 8.9822 6.5695 90.00 90.00 120.00
With the nearest neighbours (Å) after each atom.
Element x y z (fractional)
Er 0.0000 0.3330 0.2500  5 Al 2.99-3.28
Er 0.0000 0.6670 0.7500  5 Al 2.99-3.28
Er 0.3330 0.0000 0.2500  5 Al 2.99-3.28
Er 0.3330 0.3330 0.7500  5 Al 2.99-3.28
Er 0.3333 0.6667 0.0000  8 Er 3.28-3.42, 6 Al 3.42
Er 0.3333 0.6667 0.5000  8 Er 3.28-3.42, 6 Al 3.42
Er 0.6670 0.0000 0.7500  5 Al 2.99-3.28
Er 0.6667 0.3333 0.0000  8 Er 3.28-3.42, 6 Al 3.42
Er 0.6667 0.3333 0.5000  8 Er 3.28-3.42, 6 Al 3.42
Er 0.6670 0.6670 0.2500  5 Al 2.99-3.28
Tm 0.0000 0.0000 0.0000  2 Tm 3.28, 6 Er 3.41, 6 Al 3.41
Tm 0.0000 0.0000 0.5000  2 Tm 3.28, 6 Er 3.41, 6 Al 3.41
Al 0.0000 0.3332 0.7500  5 Er 2.99-3.28
Al 0.0000 0.6668 0.2500  5 Er 2.99-3.28
Al 0.3332 0.0000 0.7500  5 Er 2.99-3.28
Al 0.3332 0.3332 0.2500  5 Er 2.99-3.28
Al 0.6668 0.0000 0.2500  5 Er 2.99-3.28
Al 0.6668 0.6668 0.7500  5 Er 2.99-3.28



Entry 7:
Here is a relaxed structure of Er4Tm5Al from Alexandria. Energies are from PBE.

Computed properties:
calculated total energy: -4.50 eV/atom
D(E_F): 13.07 states/eV per cell
space-group type: No. 123

Lattice parameters (Å, degrees): 3.4841 3.4841 23.7705 90.00 90.00 90.00
With the nearest neighbours (Å) after each atom.
Element x y z (fractional)
Er 0.0000 0.0000 0.1046  4 Er 3.48, 8 Tm 3.50-3.51
Er 0.0000 0.0000 0.3139  4 Er 3.48, 8 Tm 3.49-3.53
Er 0.0000 0.0000 0.6861  4 Er 3.48, 8 Tm 3.49-3.53
Er 0.0000 0.0000 0.8954  4 Er 3.48, 8 Tm 3.50-3.51
Tm 0.5000 0.5000 0.0000  4 Tm 3.48, 8 Er 3.50
Tm 0.5000 0.5000 0.2096  4 Tm 3.48, 8 Er 3.49-3.51
Tm 0.5000 0.5000 0.4202  4 Al 3.11
Tm 0.5000 0.5000 0.5798  4 Al 3.11
Tm 0.5000 0.5000 0.7904  4 Tm 3.48, 8 Er 3.49-3.51
Al 0.0000 0.0000 0.5000  8 Tm 3.11



Entry 8:
Here is a relaxed structure of ErTmAl from Alexandria. Energies are from PBE.

Computed properties:
excess energy over the best structure of this formula in the dataset: 0.0000 eV per atom
D(E_F): 2.20 states/eV per cell
space-group type: No. 107

Lattice parameters (Å, degrees): 7.0437 7.0437 7.0437 152.04 152.04 39.96
With the nearest neighbours (Å) after each atom.
Element x y z (fractional)
Er 0.0000 0.0000 0.0000  4 Al 3.12, 4 Er 3.40
Tm 0.7003 0.7003 0.0000  4 Al 3.11, 4 Tm 3.40
Al 0.3495 0.3495 0.0000  4 Tm 3.11, 4 Er 3.12, 4 Al 3.40